# LiAg5O4

An optimized crystal structure of LiAg5O4 (GGA-PBE, the Alexandria database).

* formation energy without anion corrections: -0.1817 eV per atom
* crystal system: orthorhombic

CIF file:
```
data_LiAg5O4
_space_group_name_H-M_alt 'P 1'
_space_group_IT_number 1
_space_group_name_Hall 'P 1'
_cell_length_a 5.1914
_cell_length_b 6.6803
_cell_length_c 8.5074
_cell_angle_alpha 90.00
_cell_angle_beta 90.00
_cell_angle_gamma 90.00
loop_
_atom_site_label
_atom_site_fract_x
_atom_site_fract_y
_atom_site_fract_z
Li1 0.7596 0.0000 0.0000
Li2 0.2404 0.5000 0.5000
Ag1 0.2552 0.7916 0.8336
Ag2 0.2552 0.2084 0.8336
Ag3 0.8489 0.5000 0.0000
Ag4 0.2552 0.7916 0.1664
Ag5 0.2552 0.2084 0.1664
Ag6 0.7448 0.7084 0.3336
Ag7 0.7448 0.2916 0.3336
Ag8 0.1511 0.0000 0.5000
Ag9 0.7448 0.2916 0.6664
Ag10 0.7448 0.7084 0.6664
O1 0.9366 0.0000 0.7657
O2 0.5631 0.7475 0.0000
O3 0.5631 0.2525 0.0000
O4 0.9366 0.0000 0.2343
O5 0.0634 0.5000 0.2657
O6 0.4369 0.7525 0.5000
O7 0.4369 0.2475 0.5000
O8 0.0634 0.5000 0.7343
```